# 1
A relaxed SiNi4Ge3 crystal. Source: OQMD, functional GGA-PBE.

Cell and atoms, written as POSCAR:
```
SiNi4Ge3
1.0
5.309 0.000 0.000
0.000 3.523 0.000
-0.012 0.000 5.677
Ni Ge Si
4 3 1
direct
0.019 0.000 0.684
0.500 0.000 0.804
0.997 0.500 0.320
0.490 0.500 0.192
0.185 0.000 0.096
0.811 0.500 0.903
0.685 0.000 0.409
0.314 0.500 0.592
```

---

# 2
A relaxed SiNi2Ge4 crystal. Source: OQMD, functional GGA-PBE.

Cell and atoms, written as POSCAR:
```
SiNi2Ge4
1.0
4.517 0.000 0.000
0.000 4.517 0.000
0.000 0.000 5.965
Ni Si Ge
2 1 4
direct
0.000 0.500 0.000
0.500 0.000 0.000
0.000 0.000 0.000
0.726 0.726 0.324
0.274 0.274 0.324
0.726 0.274 0.676
0.274 0.726 0.676
```

---

# 3
A relaxed Si3Ni4Ge crystal. Source: OQMD, functional GGA-PBE.

Cell and atoms, written as POSCAR:
```
Si3Ni4Ge
1.0
5.184 0.000 0.000
0.000 3.435 0.000
-0.002 0.000 5.603
Ni Si Ge
4 3 1
direct
0.001 0.500 0.692
0.484 0.500 0.819
0.012 0.000 0.305
0.507 0.000 0.185
0.179 0.000 0.916
0.316 0.500 0.409
0.820 0.500 0.085
0.681 0.000 0.589
```

---

# 4
A relaxed SiNi6Ge2 crystal. Source: OQMD, functional GGA-PBE.

Cell and atoms, written as POSCAR:
```
SiNi6Ge2
1.0
6.488 0.000 0.000
-3.244 5.619 0.000
0.000 0.000 2.912
Ni Ge Si
6 2 1
direct
0.000 0.627 0.000
0.276 0.000 0.500
0.373 0.373 0.000
0.724 0.724 0.500
0.000 0.276 0.500
0.627 0.000 0.000
0.667 0.333 0.500
0.333 0.667 0.500
0.000 0.000 0.000
```

---

# 5
A relaxed SmSi2NiGe crystal. Source: OQMD, functional GGA-PBE.

Results
ΔE to the lowest computed polymorph = 18 meV/atom

Cell and atoms, written as POSCAR:
```
SmSi2NiGe
1.0
-0.361 7.252 -8.093
-3.615 -6.410 8.004
0.572 2.980 2.645
Sm Ge Si Ni
2 2 4 2
direct
0.330 0.670 0.500
0.670 0.330 0.500
0.557 0.443 0.000
0.443 0.557 0.000
0.782 0.218 0.000
0.218 0.782 0.000
0.944 0.056 0.500
0.056 0.944 0.500
0.111 0.889 0.000
0.889 0.111 0.000
```

---

# 6
A relaxed SmSi2NiGe crystal. Source: OQMD, functional GGA-PBE.

Results
ΔE to the lowest computed polymorph = 14 meV/atom

Cell and atoms, written as POSCAR:
```
SmSi2NiGe
1.0
-10.285 -2.306 -2.607
10.167 -1.579 3.469
-1.172 0.887 3.840
Sm Si Ge Ni
2 4 2 2
direct
0.330 0.670 0.000
0.670 0.330 0.000
0.444 0.556 0.500
0.218 0.782 0.500
0.782 0.218 0.500
0.556 0.444 0.500
0.943 0.057 0.000
0.057 0.943 0.000
0.889 0.111 0.500
0.111 0.889 0.500
```

---

# 7
A relaxed SmSiNi2Ge crystal. Source: OQMD, functional GGA-PBE.

Cell and atoms, written as POSCAR:
```
SmSiNi2Ge
1.0
-2.031 2.031 4.870
2.031 -2.031 4.870
2.031 2.031 -4.870
Ni Ge Si Sm
2 1 1 1
direct
0.746 0.246 0.500
0.246 0.746 0.500
0.375 0.375 0.000
0.633 0.633 0.000
0.001 0.001 0.000
```

---

# 8
A relaxed SmSi2NiGe crystal. Source: OQMD, functional GGA-PBE.

Results
ΔE to the lowest computed polymorph = 0 meV/atom

Cell and atoms, written as POSCAR:
```
SmSi2NiGe
1.0
2.011 -10.747 0.000
2.011 10.747 0.000
0.000 0.000 4.036
Si Sm Ge Ni
4 2 2 2
direct
0.945 0.055 0.000
0.055 0.945 0.000
0.555 0.445 0.500
0.445 0.555 0.500
0.166 0.834 0.500
0.834 0.166 0.500
0.715 0.285 0.000
0.285 0.715 0.000
0.605 0.395 0.000
0.395 0.605 0.000
```

---

Number 1: energy -44.367 eV per cell, M_tot 0.0 Bohr magnetons per cell. Number 2: energy -33.709 eV per cell, M_tot 0.0 Bohr magnetons per cell. Number 3: energy -46.733 eV per cell, M_tot 0.0 Bohr magnetons per cell. Number 4: energy -51.763 eV per cell, M_tot 0.0 Bohr magnetons per cell. Number 5: energy -57.888 eV per cell, M_tot 0.0 Bohr magnetons per cell. Number 6: energy -57.926 eV per cell, M_tot 0.0 Bohr magnetons per cell. Number 7: energy -29.754 eV per cell, M_tot 0.0 Bohr magnetons per cell. Number 8: energy -58.063 eV per cell, M_tot 0.0 Bohr magnetons per cell.